[1]
A plane-wave DFT calculation with GGA-PBE was carried out for an optimized crystal structure of TaInAu2.

SG: No. 6
Raw total energy: -20.90 eV/cell
Formation enthalpy at 0 K: 0.25 eV per formula unit
Volume: 18.9 Å³ per atom

```
TaInAu2
1.0
4.497 0.000 0.000
0.000 2.954 0.008
0.000 1.474 5.702
Au In Ta
2 1 1
Direct
0.500 0.051 0.271
0.000 0.203 0.968
0.000 0.451 0.473
0.500 0.795 0.788
```

=====

[2]
A plane-wave DFT calculation with GGA-PBE was carried out for an optimized crystal structure of YFeAg2.

SG: No. 47
Raw total energy: -20.02 eV/cell
Formation enthalpy at 0 K: 0.61 eV per formula unit
Volume: 19.1 Å³ per atom

```
YFeAg2
1.0
-1.645 2.904 2.353
-3.678 -0.647 -1.773
-0.970 -3.097 3.143
Y Ag Fe
1 2 1
Direct
0.000 0.500 0.500
0.500 0.500 0.000
0.000 0.000 0.000
0.500 0.000 0.500
```

=====

[3]
A plane-wave DFT calculation with GGA-PBE was carried out for an optimized crystal structure of Nb12CrGa6.

SG: No. 148
Raw total energy: -150.80 eV/cell
Formation enthalpy at 0 K: -2.18 eV per formula unit
Volume: 17.2 Å³ per atom

```
Nb12CrGa6
1.0
-0.032 -3.842 -5.713
6.482 1.880 -1.361
2.366 -5.400 3.557
Nb Ga Cr
12 6 1
Direct
0.626 0.944 0.863
0.137 0.374 0.056
0.572 0.190 0.487
0.863 0.626 0.944
0.810 0.513 0.428
0.428 0.810 0.513
0.190 0.487 0.572
0.944 0.863 0.626
0.487 0.572 0.190
0.056 0.137 0.374
0.374 0.056 0.137
0.513 0.428 0.810
0.256 0.738 0.882
0.882 0.256 0.738
0.118 0.744 0.262
0.744 0.262 0.118
0.262 0.118 0.744
0.738 0.882 0.256
0.000 0.000 0.000
```

=====

[4]
A plane-wave DFT calculation with GGA-PBE was carried out for an optimized crystal structure of ScZnRu3.

SG: No. 221
Raw total energy: -30.56 eV/cell
Formation enthalpy at 0 K: 4.87 eV per formula unit
Volume: 18.3 Å³ per atom
Distance to the lowest polymorph of the same formula: 0 meV/atom

```
ScZnRu3
1.0
4.505 0.000 0.000
0.000 4.505 0.000
0.000 0.000 4.505
Zn Ru Sc
1 3 1
Direct
0.000 0.000 0.000
0.000 0.000 0.500
0.000 0.500 0.000
0.500 0.000 0.000
0.500 0.500 0.500
```

=====

[5]
A plane-wave DFT calculation with GGA-PBE was carried out for an optimized crystal structure of SmErZn2.

SG: No. 225
Raw total energy: -13.15 eV/cell
Formation enthalpy at 0 K: -1.32 eV per formula unit
Volume: 23.2 Å³ per atom
Distance to the lowest polymorph of the same formula: 0 meV/atom

```
SmErZn2
1.0
5.080 0.000 0.000
2.540 4.399 0.000
2.540 1.466 4.148
Zn Sm Er
2 1 1
Direct
0.250 0.250 0.250
0.750 0.750 0.750
0.000 0.000 0.000
0.500 0.500 0.500
```

=====

[6]
A plane-wave DFT calculation with GGA-PBE was carried out for an optimized crystal structure of VTeI2Cl.

SG: No. 123
Raw total energy: -16.88 eV/cell
Volume: 29.6 Å³ per atom
Formation energy from raw total energies: 0.066 eV per atom
Distance to the lowest polymorph of the same formula: 0 meV/atom

```
VTeI2Cl
1.0
-0.538 -0.955 -5.238
-0.060 -5.263 0.966
-5.140 0.150 0.501
Cl I V Te
1 2 1 1
Direct
0.500 0.500 0.500
0.000 0.500 0.000
0.500 0.000 0.000
0.000 0.000 0.000
0.000 0.000 0.500
```

=====

[7]
A plane-wave DFT calculation with GGA-PBE was carried out for an optimized crystal structure of Rb2LaIr4.

SG: No. 139
Raw total energy: -30.33 eV/cell
Formation enthalpy at 0 K: 11.97 eV per formula unit
Volume: 33.1 Å³ per atom

```
Rb2LaIr4
1.0
-4.793 1.558 -0.960
-1.141 -0.441 4.983
-0.514 8.909 3.312
Ir Rb La
4 2 1
Direct
0.000 0.500 0.000
0.500 0.000 0.000
0.860 0.860 0.279
0.140 0.140 0.721
0.346 0.346 0.308
0.654 0.654 0.692
0.000 0.000 0.000
```

=====

[8]
A plane-wave DFT calculation with GGA-PBE was carried out for an optimized crystal structure of InPdSe.

SG: No. 6
Raw total energy: -24.68 eV/cell
Volume: 21.7 Å³ per atom
Formation energy from raw total energies: -0.307 eV per atom

```
InPdSe
1.0
-3.667 1.187 1.265
-2.811 -1.759 6.516
2.096 4.488 1.863
In Pd Se
2 2 2
Direct
0.913 0.154 0.228
0.904 0.663 0.451
0.148 0.918 0.670
0.643 0.425 0.658
0.382 0.184 0.852
0.385 0.682 0.065
```

=====

[9]
A plane-wave DFT calculation with GGA-PBE was carried out for an optimized crystal structure of PuThZnAu.

SG: No. 216
Raw total energy: -27.34 eV/cell
Formation enthalpy at 0 K: -1.04 eV per formula unit
Volume: 24.5 Å³ per atom

```
PuThZnAu
1.0
-0.636 1.579 4.891
-4.472 -0.900 2.451
-0.196 -3.472 3.837
Pu Au Th Zn
1 1 1 1
Direct
0.750 0.750 0.750
0.500 0.500 0.500
0.250 0.250 0.250
0.000 0.000 0.000
```

=====

[10]
A plane-wave DFT calculation with GGA-PBE was carried out for an optimized crystal structure of Pa2In8Ir.

SG: No. 123
Raw total energy: -51.89 eV/cell
Formation enthalpy at 0 K: -2.13 eV per formula unit
Volume: 24.0 Å³ per atom

```
Pa2In8Ir
1.0
-4.234 -1.982 0.307
1.678 -3.109 3.076
-2.817 7.418 9.034
In Pa Ir
8 2 1
Direct
0.500 0.500 0.690
0.500 0.500 0.310
0.000 0.500 0.124
0.500 0.000 0.500
0.500 0.000 0.124
0.000 0.500 0.500
0.500 0.000 0.876
0.000 0.500 0.876
0.000 0.000 0.307
0.000 0.000 0.693
0.000 0.000 0.000
```

=====

[11]
A plane-wave DFT calculation with GGA-PBE was carried out for an optimized crystal structure of Rb2LaV.

SG: No. 225
Raw total energy: -10.72 eV/cell
Formation enthalpy at 0 K: 5.27 eV per formula unit
Volume: 43.9 Å³ per atom

```
Rb2LaV
1.0
0.000 4.445 4.445
4.445 0.000 4.445
4.445 4.445 0.000
Rb La V
2 1 1
Direct
0.750 0.750 0.750
0.250 0.250 0.250
0.500 0.500 0.500
0.000 0.000 0.000
```

=====

[12]
A plane-wave DFT calculation with GGA-PBE was carried out for an optimized crystal structure of Ho12In3Ag.

SG: No. 123
Raw total energy: -69.07 eV/cell
Formation enthalpy at 0 K: -3.07 eV per formula unit
Volume: 27.7 Å³ per atom

```
Ho12In3Ag
1.0
-0.758 -1.258 -4.592
-4.588 -1.048 1.044
-5.031 17.958 -4.089
Ho Ag In
12 1 3
Direct
0.500 0.500 0.246
0.500 0.500 0.754
0.500 0.500 0.000
0.000 0.500 0.879
0.000 0.500 0.374
0.000 0.500 0.121
0.500 0.000 0.121
0.500 0.000 0.626
0.500 0.000 0.879
0.500 0.000 0.374
0.000 0.500 0.626
0.500 0.500 0.500
0.000 0.000 0.000
0.000 0.000 0.248
0.000 0.000 0.500
0.000 0.000 0.752
```

=====

[13]
A plane-wave DFT calculation with GGA-PBE was carried out for an optimized crystal structure of HfOsSN2.

SG: No. 123
Raw total energy: -36.21 eV/cell
Volume: 16.8 Å³ per atom
Formation energy from raw total energies: 1.149 eV per atom
Distance to the lowest polymorph of the same formula: 776 meV/atom

```
HfOsSN2
1.0
4.016 0.000 0.000
0.000 4.016 0.000
0.000 0.000 5.216
N Hf S Os
2 1 1 1
Direct
0.000 0.500 0.000
0.500 0.000 0.000
0.000 0.000 0.000
0.000 0.000 0.500
0.500 0.500 0.500
```

=====

[14]
A plane-wave DFT calculation with GGA-PBE was carried out for an optimized crystal structure of ZnCd2Ir.

SG: No. 10
Raw total energy: -11.48 eV/cell
Formation enthalpy at 0 K: 0.49 eV per formula unit
Volume: 17.6 Å³ per atom

```
ZnCd2Ir
1.0
-1.106 -3.880 -0.444
2.003 -0.818 2.156
-1.950 -0.149 6.154
Cd Zn Ir
2 1 1
Direct
0.000 0.503 0.494
0.000 0.997 0.006
0.500 0.750 0.750
0.500 0.250 0.250
```

=====

[15]
A plane-wave DFT calculation with GGA-PBE was carried out for an optimized crystal structure of Pr8Y6In.

SG: No. 147
Raw total energy: -78.79 eV/cell
Formation enthalpy at 0 K: 0.97 eV per formula unit
Volume: 34.0 Å³ per atom

```
Pr8Y6In
1.0
6.682 0.000 0.000
0.000 8.134 -4.696
0.000 0.000 9.392
Pr Y In
8 6 1
Direct
0.824 0.042 0.274
0.824 0.232 0.958
0.861 0.333 0.667
0.176 0.958 0.726
0.139 0.667 0.333
0.176 0.768 0.042
0.824 0.726 0.768
0.176 0.274 0.232
0.659 0.655 0.098
0.341 0.098 0.443
0.659 0.443 0.345
0.341 0.345 0.902
0.659 0.902 0.557
0.341 0.557 0.655
0.500 0.000 0.000
```

=====

[16]
A plane-wave DFT calculation with GGA-PBE was carried out for an optimized crystal structure of Te2IrS4.

SG: No. 139
Raw total energy: -29.45 eV/cell
Volume: 21.4 Å³ per atom
Formation energy from raw total energies: 0.315 eV per atom

```
Te2IrS4
1.0
-3.183 2.091 2.599
-3.147 -0.693 -3.297
-4.855 -5.498 2.567
S Te Ir
4 2 1
Direct
0.500 0.000 0.000
0.170 0.170 0.660
0.830 0.830 0.340
0.000 0.500 0.000
0.638 0.638 0.724
0.362 0.362 0.276
0.000 0.000 0.000
```

=====

[17]
A plane-wave DFT calculation with GGA-PBE was carried out for an optimized crystal structure of K2Rb3Na4.

SG: No. 12
Raw total energy: -10.04 eV/cell
Formation enthalpy at 0 K: 0.33 eV per formula unit
Volume: 60.5 Å³ per atom
Distance to the lowest polymorph of the same formula: 5 meV/atom

```
K2Rb3Na4
1.0
-0.671 -0.846 6.817
5.767 -1.163 3.921
2.013 12.522 1.746
Rb Na K
3 4 2
Direct
0.665 0.669 0.577
0.335 0.331 0.423
0.000 0.000 0.000
0.998 0.003 0.658
0.336 0.327 0.104
0.002 0.997 0.342
0.664 0.673 0.896
0.669 0.662 0.209
0.331 0.338 0.791
```

=====

[18]
A plane-wave DFT calculation with GGA-PBE was carried out for an optimized crystal structure of Ce3Ag2Ge4.

SG: No. 12
Raw total energy: -46.79 eV/cell
Formation enthalpy at 0 K: -4.82 eV per formula unit
Volume: 22.7 Å³ per atom

```
Ce3Ag2Ge4
1.0
-0.140 -1.009 4.357
5.444 -0.643 2.324
3.309 7.464 4.132
Ag Ce Ge
2 3 4
Direct
0.616 0.051 0.718
0.384 0.949 0.282
0.000 0.000 0.000
0.662 0.349 0.327
0.338 0.651 0.673
0.068 0.267 0.596
0.285 0.386 0.044
0.715 0.614 0.956
0.932 0.733 0.404
```